Entry 1:
DFT (PBE-GGA) results for a relaxed MgZr2Ni crystal.

The space group is I-4m2 (No. 119) and the conventional cell measures 4.069, 4.069 and 9.111 Å, with angles of 90.00, 90.00 and 90.00 degrees. Symmetry generates all atoms from Mg at (0.000, 0.000, 0.000), Zr at (0.000, 0.000, 0.500), Zr at (0.000, 0.500, 0.250) and Ni at (0.000, 0.500, 0.750).

Its energy of formation is 0.053 eV per atom. For the polymorph energy (0 for the lowest one), the calculation gives 0.90 eV/f.u.

***

Entry 2:
DFT (PBE-GGA) results for a relaxed Mg2ZrNi crystal.

The space group is Cm (No. 8) and the conventional cell measures 9.863, 3.103 and 5.452 Å, with angles of 90.00, 112.17 and 90.00 degrees. Symmetry generates all atoms from Mg at (0.000, 0.000, 0.000), Mg at (0.215, 0.000, 0.775), Zr at (0.301, 0.500, 0.341) and Ni at (0.024, 0.500, 0.417).

Its energy of formation is -0.003 eV per atom.

***

Entry 3:
DFT (PBE-GGA) results for a relaxed MgZr2Ni crystal.

The space group is P4mm (No. 99) and the conventional cell measures 3.211, 3.211 and 7.554 Å, with angles of 90.00, 90.00 and 90.00 degrees. Symmetry generates all atoms from Mg at (0.000, 0.000, 0.000), Zr at (0.000, 0.000, 0.408), Zr at (0.500, 0.500, 0.693) and Ni at (0.500, 0.500, 0.212).

Its energy of formation is -0.172 eV per atom. For the polymorph energy (0 for the lowest one), the calculation gives 0.00 eV/f.u.

***

Entry 4:
DFT (PBE-GGA) results for a relaxed Mg2ZrNi crystal.

The space group is I4/mmm (No. 139) and the conventional cell measures 3.949, 3.949 and 9.595 Å, with angles of 90.00, 90.00 and 90.00 degrees. Symmetry generates all atoms from Mg at (0.000, 0.500, 0.250), Zr at (0.000, 0.000, 0.000) and Ni at (0.000, 0.000, 0.500).

Its energy of formation is 0.126 eV per atom.

***

Entry 5:
DFT (PBE-GGA) results for a relaxed MgZr2Ni6 crystal.

The space group is P-3m1 (No. 164) and the conventional cell measures 5.1548, 5.1548 and 5.5082 Å, with angles of 90.00, 90.00 and 120.00 degrees. Symmetry generates all atoms from Mg at (0.0000, 0.0000, 0.0000), Zr at (0.3333, 0.6667, 0.8288) and Ni at (0.1779, 0.3558, 0.3342).

Its energy of formation is -0.264 eV per atom.

***

Entry 6:
DFT (PBE-GGA) results for a relaxed Mg2ZrNi crystal.

The space group is F-43m (No. 216) and the conventional cell measures 6.559, 6.559 and 6.559 Å, with angles of 90.00, 90.00 and 90.00 degrees. Symmetry generates all atoms from Mg at (0.000, 0.000, 0.000), Mg at (0.250, 0.250, 0.250), Zr at (0.250, 0.250, 0.750) and Ni at (0.000, 0.000, 0.500).

Its energy of formation is -0.095 eV per atom.